Record 1
RbTlSbTe2: optimized geometry, PBE.

ΔE to the lowest computed polymorph	0.00	eV per formula unit
uncorrected formation energy	0.60	eV/f.u.

Lattice parameters (Å, degrees): 6.0432 6.0432 5.7611 90.00 90.00 90.00
Atoms (fractional coordinates):
Rb1 0.0000 0.0000 0.0000
Tl1 0.5000 0.5000 0.5000
Sb1 0.5000 0.5000 0.0000
Te1 0.0000 0.5000 0.5000
Te2 0.5000 0.0000 0.5000

=====

Record 2
ErZnGaCu2: optimized geometry, PBE.

formation energy from the elements	-301.1	meV per atom

Lattice parameters (Å, degrees): 6.2014 6.2014 6.2014 143.24 143.19 53.00
Atoms (fractional coordinates):
Er1 0.0000 0.0000 0.0000
Zn1 0.2651 0.7651 0.5000
Ga1 0.6179 0.6179 0.0000
Cu1 0.4016 0.4016 0.0000
Cu2 0.7591 0.2591 0.5000

=====

Record 3
Rb3Bi2Pd4: optimized geometry, PBE.

formation energy from the elements	-225.0	meV per atom

Lattice parameters (Å, degrees): 6.8986 6.8986 9.5761 108.48 108.48 40.38
Atoms (fractional coordinates):
Rb1 0.0000 0.0000 0.0000
Rb2 0.3696 0.3696 0.6293
Rb3 0.6304 0.6304 0.3707
Bi1 0.3242 0.3242 0.2285
Bi2 0.6758 0.6758 0.7715
Pd1 0.0814 0.0814 0.6392
Pd2 0.2525 0.2525 0.9216
Pd3 0.7475 0.7475 0.0784
Pd4 0.9186 0.9186 0.3608

=====

Record 4
BaHg2PtI: optimized geometry, PBE.

uncorrected formation energy	-3.60	eV/f.u.

Lattice parameters (Å, degrees): 5.3474 5.3474 6.1333 90.00 90.00 90.00
Atoms (fractional coordinates):
Ba1 0.0000 0.0000 0.0000
Hg1 0.0000 0.5000 0.5000
Hg2 0.5000 0.0000 0.5000
Pt1 0.0000 0.0000 0.5000
I1 0.5000 0.5000 0.0000

=====

Record 5
Ac2AgSb3Pt4: optimized geometry, PBE.

uncorrected formation energy	-8.34	eV/f.u.

Lattice parameters (Å, degrees): 4.7108 4.7108 10.5998 90.00 90.00 90.00
Atoms (fractional coordinates):
Ac1 0.0000 0.5000 0.2456
Ac2 0.5000 0.0000 0.7544
Ag1 0.0000 0.0000 0.5000
Sb1 0.0000 0.5000 0.8736
Sb2 0.5000 0.0000 0.1264
Sb3 0.5000 0.5000 0.5000
Pt1 0.0000 0.0000 0.0000
Pt2 0.0000 0.5000 0.6280
Pt3 0.5000 0.0000 0.3720
Pt4 0.5000 0.5000 0.0000

=====

Record 6
DyY2Au: optimized geometry, PBE.

formation energy from the elements	-288.7	meV per atom
ΔE to the lowest computed polymorph	0.66	eV per formula unit

Lattice parameters (Å, degrees): 10.0353 10.0353 10.0353 21.54 21.54 21.54
Atoms (fractional coordinates):
Dy1 0.0000 0.0000 0.0000
Y1 0.2369 0.2369 0.2369
Y2 0.4315 0.4315 0.4315
Au1 0.8347 0.8347 0.8347

=====

Record 7
LiSn2Pt4: optimized geometry, PBE.

formation energy from the elements	-419.4	meV per atom

Lattice parameters (Å, degrees): 6.1653 6.3181 7.5023 103.13 111.09 107.12
Atoms (fractional coordinates):
Li1 0.0000 0.0000 0.0000
Li2 0.2082 0.6948 0.4536
Sn1 0.0236 0.3666 0.6294
Sn2 0.4782 0.4031 0.2785
Sn3 0.5140 0.9084 0.2871
Sn4 0.6398 0.5299 0.7627
Pt1 0.0970 0.4919 0.0383
Pt2 0.2198 0.1238 0.4185
Pt3 0.3431 0.2149 0.8721
Pt4 0.4039 0.8022 0.8679
Pt5 0.6551 0.0858 0.7031
Pt6 0.7994 0.6918 0.1715
Pt7 0.8208 0.2432 0.2064
Pt8 0.9031 0.7853 0.6076

=====

Record 8
ReAs2P: optimized geometry, PBE.

formation energy from the elements	655.7	meV per atom

Lattice parameters (Å, degrees): 4.8890 4.8890 4.8890 137.06 125.55 71.73
Atoms (fractional coordinates):
Re1 0.0000 0.0000 0.0000
As1 0.2792 0.7792 0.5000
As2 0.7208 0.2208 0.5000
P1 0.5000 0.5000 0.0000

=====

Record 9
BeAsCl: optimized geometry, PBE.

ΔE to the lowest computed polymorph	0.50	eV per formula unit
uncorrected formation energy	-0.47	eV/f.u.

Lattice parameters (Å, degrees): 7.7624 7.7624 7.7624 160.15 154.36 32.64
Atoms (fractional coordinates):
Be1 0.0000 0.0000 0.0000
As1 0.5839 0.5839 0.0000
Cl1 0.8708 0.8708 0.0000

=====

Record 10
YOs2W: optimized geometry, PBE.

formation energy from the elements	434.8	meV per atom
ΔE to the lowest computed polymorph	1.63	eV per formula unit

Lattice parameters (Å, degrees): 5.2886 5.2886 2.8483 101.36 101.36 113.22
Atoms (fractional coordinates):
Y1 0.0000 0.0000 0.0000
Os1 0.0000 0.5000 0.5000
Os2 0.5000 0.0000 0.5000
W1 0.5000 0.5000 0.0000

=====

Record 11
BaFe2S4: optimized geometry, PBE.

ΔE to the lowest computed polymorph	0.00	eV per formula unit
uncorrected formation energy	-6.05	eV/f.u.

Lattice parameters (Å, degrees): 5.9657 5.9657 5.9657 100.46 100.46 129.57
Atoms (fractional coordinates):
Ba1 0.0000 0.0000 0.0000
Fe1 0.2500 0.7500 0.5000
Fe2 0.7500 0.2500 0.5000
S1 0.1944 0.6128 0.8072
S2 0.3872 0.1944 0.5815
S3 0.6128 0.8056 0.4185
S4 0.8056 0.3872 0.1928

=====

| no. | DFT total energy (eV per atom) | total magnetic moment (μB/f.u.) |
| --- | --- | --- |
| 1 | -2.628 | 1.1 |
| 2 | -3.712 | 0.0 |
| 3 | -3.718 | 0.0 |
| 4 | -2.744 | 0.0 |
| 5 | -5.593 | 0.0 |
| 6 | -5.491 | 0.6 |
| 7 | -5.288 | 0.0 |
| 8 | -6.134 | 0.0 |
| 9 | -3.565 | 0.0 |
| 10 | -10.034 | 0.0 |
| 11 | -5.916 | 1.8 |